1.
Zn2GaAgSe4: relaxed, PBE-GGA.

Values from the calculation:
D(E_F) (states/eV/cell): 0.58

Unit cell a=6.812 b=4.057 c=7.200 alpha=90.00 beta=90.10 gamma=90.00
Space group Pm (No. 6)
Inequivalent atoms, fractional coordinates:
1 Zn 0.000 0.000 0.000
2 Zn 0.463 0.500 0.158
3 Ga 0.462 0.000 0.680
4 Ag 0.968 0.500 0.499
5 Se 0.105 0.500 0.161
6 Se 0.113 0.000 0.682
7 Se 0.583 0.500 0.503
8 Se 0.615 0.000 0.999


2.
Zn2GaAgSe4: relaxed, PBE-GGA.

Unit cell a=5.883 b=5.883 c=11.379 alpha=90.00 beta=90.00 gamma=90.00
Space group I-42m (No. 121)
Inequivalent atoms, fractional coordinates:
1 Zn 0.000 0.500 0.250
2 Ga 0.000 0.000 0.000
3 Ag 0.000 0.000 0.500
4 Se 0.236 0.236 0.871


Most stable structure, least stable structure: 2, 1.


1.
GaSi2Ag2: relaxed, PBE-GGA.

Values from the calculation:
D(E_F) (states/eV/cell): 4.37

Unit cell a=8.191 b=8.191 c=2.720 alpha=90.00 beta=90.00 gamma=90.00
Space group P4/mbm (No. 127)
Inequivalent atoms, fractional coordinates:
1 Ga 0.000 0.000 0.000
2 Si 0.142 0.358 0.000
3 Ag 0.155 0.655 0.500


2.
GaSi2Ag2: relaxed, PBE-GGA.

Values from the calculation:
D(E_F) (states/eV/cell): 4.95

Unit cell a=4.127 b=4.127 c=10.997 alpha=90.00 beta=90.00 gamma=90.00
Space group I4/mmm (No. 139)
Inequivalent atoms, fractional coordinates:
1 Ga 0.000 0.000 0.000
2 Si 0.000 0.000 0.396
3 Ag 0.000 0.500 0.250


Most stable structure, least stable structure: 2, 1.


1.
TlGa2SiAg: relaxed, PBE-GGA.

Values from the calculation:
D(E_F) (states/eV/cell): 3.14

Unit cell a=5.080 b=5.080 c=4.929 alpha=90.00 beta=90.00 gamma=90.00
Space group P4/mmm (No. 123)
Inequivalent atoms, fractional coordinates:
1 Tl 0.000 0.000 0.000
2 Ga 0.000 0.500 0.500
3 Si 0.500 0.500 0.000
4 Ag 0.500 0.500 0.500


2.
TlGa2SiAg: relaxed, PBE-GGA.

Values from the calculation:
D(E_F) (states/eV/cell): 1.81

Unit cell a=4.986 b=4.986 c=4.914 alpha=90.00 beta=90.00 gamma=90.00
Space group P4/mmm (No. 123)
Inequivalent atoms, fractional coordinates:
1 Tl 0.000 0.000 0.000
2 Ga 0.000 0.500 0.500
3 Si 0.500 0.500 0.500
4 Ag 0.500 0.500 0.000


Most stable structure, least stable structure: 2, 1.